[1]
MgPd2Pt8: relaxed, PBE.

Density of states at the Fermi level (states/eV per cell): 11.28
Volume (Å³/f.u.): 179.73
ΔH_f (0 K) (meV per atom): -156

Cell: 3.8742 7.8504 7.3539 Å, 122.26 105.27 90.00°
Fractional coordinates of all 11 atoms:
Pt 0.3338 0.0849 0.6677
Pd 0.1551 0.6551 0.3102
Pt 0.1649 0.1649 0.3299
Mg 0.5000 0.0000 0.0000
Pt 0.0000 0.2516 0.0000
Pt 0.3338 0.5828 0.6677
Pd 0.8449 0.3449 0.6898
Pt 0.0000 0.7484 0.0000
Pt 0.8351 0.8351 0.6701
Pt 0.6662 0.9151 0.3323
Pt 0.6662 0.4172 0.3323

[2]
Sr2Zn2AgPt5: relaxed, PBE.

Density of states at the Fermi level (states/eV per cell): 6.75
Volume (Å³/f.u.): 188.24
ΔH_f (0 K) (meV per atom): -530

Cell: 3.9129 9.8088 9.8088 Å, 90.00 90.00 90.00°
Fractional coordinates of all 20 atoms:
Pt 0.5000 0.0603 0.7910
Ag 0.0000 0.0000 0.0000
Zn 0.0000 0.6192 0.8808
Pt 0.5000 0.9397 0.2090
Sr 0.0000 0.8197 0.6803
Pt 0.5000 0.0000 0.5000
Pt 0.5000 0.2910 0.5603
Pt 0.5000 0.4397 0.2910
Zn 0.0000 0.8808 0.3808
Ag 0.0000 0.5000 0.5000
Sr 0.0000 0.1803 0.3197
Pt 0.5000 0.7910 0.9397
Pt 0.5000 0.7090 0.4397
Sr 0.0000 0.3197 0.8197
Pt 0.5000 0.5603 0.7090
Sr 0.0000 0.6803 0.1803
Pt 0.5000 0.5000 0.0000
Pt 0.5000 0.2090 0.0603
Zn 0.0000 0.1192 0.6192
Zn 0.0000 0.3808 0.1192

[3]
Ac3CuSi2: relaxed, PBE.

Density of states at the Fermi level (states/eV per cell): 10.73
Raw formation energy (eV/f.u.): -2.156
Volume (Å³/f.u.): 187.56
Polymorph energy (0 for the lowest one) (meV/atom): 100

Cell: 7.6675 7.6675 7.6675 Å, 68.37 68.37 68.37°
Fractional coordinates of all 12 atoms:
Ac 0.9562 0.2500 0.5438
Ac 0.0438 0.7500 0.4562
Si 0.8665 0.8665 0.8665
Cu 0.0000 0.0000 0.0000
Ac 0.7500 0.4562 0.0438
Cu 0.5000 0.5000 0.5000
Si 0.6335 0.6335 0.6335
Si 0.3665 0.3665 0.3665
Ac 0.2500 0.5438 0.9562
Si 0.1335 0.1335 0.1335
Ac 0.5438 0.9562 0.2500
Ac 0.4562 0.0438 0.7500

[4]
Sr3MnBr: relaxed, PBE.

Density of states at the Fermi level (states/eV per cell): 8.70
Raw formation energy (eV/f.u.): 0.109
Volume (Å³/f.u.): 212.16
Polymorph energy (0 for the lowest one) (meV/atom): 0

Cell: 5.9642 5.9642 5.9642 Å, 90.00 90.00 90.00°
Site moments in Bohr magnetons follow the coordinates.
Fractional coordinates of all 5 atoms:
Br 0.0000 0.0000 0.0000  -0.01
Mn 0.5000 0.5000 0.5000  4.36
Sr 0.0000 0.0000 0.5000  -0.09
Sr 0.0000 0.5000 0.0000  -0.08
Sr 0.5000 0.0000 0.0000  -0.07

[5]
CuRe2B: relaxed, PBE.

Density of states at the Fermi level (states/eV per cell): 5.38
Volume (Å³/f.u.): 54.28
Polymorph energy (0 for the lowest one) (meV/atom): 0
ΔH_f (0 K) (meV per atom): 569

Cell: 2.7947 2.7947 8.1848 Å, 80.17 80.17 60.00°
Fractional coordinates of all 4 atoms:
Re 0.8937 0.8937 0.3190
Cu 0.0000 0.0000 0.0000
Re 0.1063 0.1063 0.6810
B 0.5000 0.5000 0.5000

[6]
Tl2Zn2Sn: relaxed, PBE.

Density of states at the Fermi level (states/eV per cell): 2.31
Volume (Å³/f.u.): 126.33
Polymorph energy (0 for the lowest one) (meV/atom): 143
ΔH_f (0 K) (meV per atom): 237

Cell: 4.4803 4.4803 7.0457 Å, 71.46 71.46 90.00°
Fractional coordinates of all 5 atoms:
Zn 0.5954 0.5954 0.8091
Zn 0.4046 0.4046 0.1909
Tl 0.2500 0.7500 0.5000
Tl 0.7500 0.2500 0.5000
Sn 0.0000 0.0000 0.0000

[7]
Hf6CoHg3: relaxed, PBE.

Density of states at the Fermi level (states/eV per cell): 10.52
Volume (Å³/f.u.): 220.94
ΔH_f (0 K) (meV per atom): 171

Cell: 6.8279 6.1082 6.1082 Å, 63.27 78.27 78.27°
Fractional coordinates of all 10 atoms:
Hf 0.3443 0.1346 0.6356
Hf 0.3443 0.6356 0.1346
Hf 0.6557 0.3644 0.8654
Hf 0.6557 0.8654 0.3644
Hg 0.0000 0.0000 0.0000
Hg 0.7338 0.8311 0.8311
Hg 0.2662 0.1689 0.1689
Co 0.5000 0.5000 0.5000
Hf 0.1526 0.6564 0.6564
Hf 0.8474 0.3436 0.3436

[8]
Er4HSe2: relaxed, PBE.

Density of states at the Fermi level (states/eV per cell): 5.93
Volume (Å³/f.u.): 150.96
Total energy (eV/atom): -4.8678

Cell: 4.2284 4.2284 8.9570 Å, 76.35 76.35 90.00°
Fractional coordinates of all 7 atoms:
Er 0.5000 0.0000 0.0000
H 0.0000 0.0000 0.0000
Er 0.6768 0.6768 0.6464
Er 0.3232 0.3232 0.3536
Er 0.0000 0.5000 0.0000
Se 0.1556 0.1556 0.6888
Se 0.8444 0.8444 0.3112

[9]
Os2W: relaxed, PBE.

Density of states at the Fermi level (states/eV per cell): 5.07
Volume (Å³/f.u.): 44.81
Polymorph energy (0 for the lowest one) (meV/atom): 91
ΔH_f (0 K) (meV per atom): 90

Cell: 7.4315 7.4315 4.4295 Å, 90.00 90.00 158.51°
Fractional coordinates of all 6 atoms:
Os 0.3913 0.6087 0.2500
W 0.7180 0.2820 0.2500
Os 0.0531 0.9469 0.2500
Os 0.6087 0.3913 0.7500
Os 0.9469 0.0531 0.7500
W 0.2820 0.7180 0.7500

[10]
LaPuZn2: relaxed, PBE.

Density of states at the Fermi level (states/eV per cell): 9.37
Volume (Å³/f.u.): 99.29
Polymorph energy (0 for the lowest one) (meV/atom): 16
ΔH_f (0 K) (meV per atom): -143

Cell: 5.1977 5.1977 5.1977 Å, 60.00 60.00 60.00°
Site moments in Bohr magnetons follow the coordinates.
Fractional coordinates of all 4 atoms:
Pu 0.0000 0.0000 0.0000  5.47
Zn 0.7500 0.7500 0.7500  0.02
La 0.5000 0.5000 0.5000  0.16
Zn 0.2500 0.2500 0.2500  0.02

[11]
Li3La2BeCu12: relaxed, PBE.

Density of states at the Fermi level (states/eV per cell): 8.66
Volume (Å³/f.u.): 286.35
ΔH_f (0 K) (meV per atom): 122

Cell: 9.4162 9.4162 9.4162 Å, 38.17 38.17 38.17°
Fractional coordinates of all 18 atoms:
Cu 0.1885 0.5814 0.5814
Cu 0.9332 0.3399 0.9332
Cu 0.5814 0.1885 0.5814
Cu 0.4186 0.4186 0.8115
Cu 0.3399 0.9332 0.9332
Cu 0.0668 0.0668 0.6601
Cu 0.0668 0.6601 0.0668
Li 0.0000 0.5000 0.0000
Cu 0.9332 0.9332 0.3399
Cu 0.5814 0.5814 0.1885
Li 0.5000 0.0000 0.0000
Li 0.0000 0.0000 0.5000
Cu 0.4186 0.8115 0.4186
Be 0.0000 0.0000 0.0000
Cu 0.6601 0.0668 0.0668
Cu 0.8115 0.4186 0.4186
La 0.6526 0.6526 0.6526
La 0.3474 0.3474 0.3474

[12]
Th2ScGa4Cu3: relaxed, PBE.

Density of states at the Fermi level (states/eV per cell): 6.19
Volume (Å³/f.u.): 193.23
ΔH_f (0 K) (meV per atom): -431

Cell: 4.2187 4.2187 10.8575 Å, 90.00 90.00 90.00°
Fractional coordinates of all 10 atoms:
Cu 0.5000 0.0000 0.8780
Th 0.0000 0.5000 0.7665
Ga 0.5000 0.5000 0.0000
Th 0.5000 0.0000 0.2335
Cu 0.0000 0.5000 0.1220
Ga 0.0000 0.5000 0.3443
Cu 0.0000 0.0000 0.5000
Ga 0.5000 0.0000 0.6557
Sc 0.5000 0.5000 0.5000
Ga 0.0000 0.0000 0.0000

What is the density of states at the Fermi level in the tenth record?
9.37 states/eV per cell

Which of these has the highest density of states at the Fermi level?
MgPd2Pt8